A | 5
Lattice="5.1458 0.0000 0.0000 0.0000 5.1458 0.0000 0.0000 0.0000 5.4054" Properties=species:S:1:pos:R:3 comment="CdS2ICl (PBE-GGA, optimized geometry)" spacegroup="P4/mmm (123)" density_g_cm3=3.93 total_magnetization_mub_per_atom=0.00 crystal_system=tetragonal pbc="T T T"
Cd 0.0000 0.0000 0.0000
S 0.0000 2.5729 2.7027
S 2.5729 0.0000 2.7027
I 2.5729 2.5729 2.7027
Cl 2.5729 2.5729 0.0000

=====

B | 5
Lattice="5.1370 0.0000 0.0000 0.0000 5.1370 0.0000 0.0000 0.0000 4.9775" Properties=species:S:1:pos:R:3 comment="CdS2ICl (PBE-GGA, optimized geometry)" spacegroup="P4/mmm (123)" density_g_cm3=4.28 total_magnetization_mub_per_atom=0.00 crystal_system=tetragonal pbc="T T T"
Cd 0.0000 0.0000 0.0000
S 0.0000 2.5685 0.0000
S 2.5685 0.0000 0.0000
I 2.5685 2.5685 2.4887
Cl 0.0000 0.0000 2.4887

=====

According to the calculations, the structures order from most to least stable as B, A.

=====

A | 5
Lattice="6.3898 0.0000 0.0000 0.0000 6.3898 0.0000 0.0000 0.0000 5.1151" Properties=species:S:1:pos:R:3 comment="CdSbI2Cl (PBE-GGA, optimized geometry)" spacegroup="P4/mmm (123)" density_g_cm3=4.16 total_magnetization_mub_per_atom=0.22 crystal_system=tetragonal pbc="T T T"
Cd 0.0000 0.0000 0.0000
Sb 3.1949 3.1949 0.0000
I 0.0000 3.1949 2.5576
I 3.1949 0.0000 2.5576
Cl 3.1949 3.1949 2.5576

=====

B | 5
Lattice="5.6898 0.0000 0.0000 0.0000 5.6898 0.0000 0.0000 0.0000 5.8499" Properties=species:S:1:pos:R:3 comment="CdSbI2Cl (PBE-GGA, optimized geometry)" spacegroup="P4/mmm (123)" density_g_cm3=4.59 total_magnetization_mub_per_atom=0.07 crystal_system=tetragonal pbc="T T T"
Cd 0.0000 0.0000 0.0000
Sb 0.0000 0.0000 2.9250
I 0.0000 2.8449 0.0000
I 2.8449 0.0000 0.0000
Cl 2.8449 2.8449 2.9250

=====

According to the calculations, the structures order from most to least stable as B, A.

=====

A | 5
Lattice="5.7957 0.0000 0.0000 0.0000 5.7957 0.0000 0.0000 0.0000 5.9955" Properties=species:S:1:pos:R:3 comment="CdTeI2Cl (PBE-GGA, optimized geometry)" spacegroup="P4/mmm (123)" density_g_cm3=4.36 total_magnetization_mub_per_atom=0.58 crystal_system=tetragonal pbc="T T T"
Cd 0.0000 0.0000 0.0000
Te 0.0000 0.0000 2.9978
I 0.0000 2.8978 0.0000
I 2.8978 0.0000 0.0000
Cl 2.8978 2.8978 2.9978

=====

B | 5
Lattice="5.6639 0.0000 0.0000 0.0000 5.6639 0.0000 0.0000 0.0000 5.6742" Properties=species:S:1:pos:R:3 comment="CdTeI2Cl (PBE-GGA, optimized geometry)" spacegroup="P4/mmm (123)" density_g_cm3=4.83 total_magnetization_mub_per_atom=0.06 crystal_system=tetragonal pbc="T T T"
Cd 0.0000 0.0000 0.0000
Te 2.8319 2.8319 0.0000
I 0.0000 2.8319 2.8371
I 2.8319 0.0000 2.8371
Cl 2.8319 2.8319 2.8371

=====

According to the calculations, the structures order from most to least stable as A, B.

=====

A | 5
Lattice="5.2291 0.0000 0.0000 0.0000 5.2291 0.0000 0.0000 0.0000 6.0246" Properties=species:S:1:pos:R:3 comment="TlCdICl2 (PBE-GGA, optimized geometry)" spacegroup="P4/mmm (123)" density_g_cm3=5.19 total_magnetization_mub_per_atom=0.00 crystal_system=tetragonal pbc="T T T"
Tl 0.0000 0.0000 0.0000
Cd 2.6146 2.6146 3.0123
I 2.6146 2.6146 0.0000
Cl 0.0000 2.6146 3.0123
Cl 2.6146 0.0000 3.0123

=====

B | 10
Lattice="2.2930 -8.2308 0.0000 2.2930 8.2308 0.0000 0.0000 0.0000 8.9894" Properties=species:S:1:pos:R:3 comment="TlCdICl2 (PBE-GGA, optimized geometry)" spacegroup="Cmcm (63)" density_g_cm3=5.04 total_magnetization_mub_per_atom=0.00 crystal_system=orthorhombic pbc="T T T"
Tl 2.2930 4.7876 6.7421
Tl 2.2930 -4.7876 2.2474
Cd 2.2930 0.0000 0.0000
Cd 2.2930 0.0000 4.4947
I 2.2930 8.0602 2.2474
I 2.2930 -8.0602 6.7421
Cl 2.2930 2.4642 0.1578
Cl 2.2930 2.4642 4.3369
Cl 2.2930 -2.4642 4.6525
Cl 2.2930 -2.4642 8.8316

=====

According to the calculations, the structures order from most to least stable as B, A.

=====

A | 10
Lattice="4.7908 0.0000 0.0000 0.0000 4.7908 0.0000 0.0000 0.0000 11.8233" Properties=species:S:1:pos:R:3 comment="Cd2InCl2 (PBE-GGA, optimized geometry)" spacegroup="I4/mmm (139)" density_g_cm3=5.02 total_magnetization_mub_per_atom=0.00 crystal_system=tetragonal pbc="T T T"
Cd 0.0000 0.0000 1.3795
Cd 0.0000 0.0000 10.4438
Cd 2.3954 2.3954 4.5322
Cd 2.3954 2.3954 7.2911
In 0.0000 0.0000 5.9117
In 2.3954 2.3954 0.0000
Cl 0.0000 2.3954 2.9558
Cl 0.0000 2.3954 8.8675
Cl 2.3954 0.0000 2.9558
Cl 2.3954 0.0000 8.8675

=====

B | 10
Lattice="8.0029 0.0000 0.0000 0.0000 8.0029 0.0000 0.0000 0.0000 4.5074" Properties=species:S:1:pos:R:3 comment="Cd2InCl2 (PBE-GGA, optimized geometry)" spacegroup="P4/mbm (127)" density_g_cm3=4.72 total_magnetization_mub_per_atom=0.00 crystal_system=tetragonal pbc="T T T"
Cd 0.9664 3.0351 0.0000
Cd 3.0351 7.0365 0.0000
Cd 4.9679 0.9664 0.0000
Cd 7.0365 4.9679 0.0000
In 0.0000 0.0000 0.0000
In 4.0015 4.0015 0.0000
Cl 1.8789 5.8803 2.2537
Cl 2.1226 1.8789 2.2537
Cl 5.8803 6.1240 2.2537
Cl 6.1240 2.1226 2.2537

=====

According to the calculations, the structures order from most to least stable as A, B.

=====

A | 8
Lattice="4.8055 0.0000 0.0000 0.0000 4.8055 0.0000 0.0000 0.0000 9.3866" Properties=species:S:1:pos:R:3 comment="CdIn2Cl (PBE-GGA, optimized geometry)" spacegroup="I4/mmm (139)" density_g_cm3=5.78 total_magnetization_mub_per_atom=0.00 crystal_system=tetragonal pbc="T T T"
Cd 0.0000 0.0000 0.0000
Cd 2.4028 2.4028 4.6933
In 0.0000 2.4028 2.3467
In 0.0000 2.4028 7.0400
In 2.4028 0.0000 2.3467
In 2.4028 0.0000 7.0400
Cl 0.0000 0.0000 4.6933
Cl 2.4028 2.4028 0.0000

=====

B | 4
Lattice="3.4412 0.0000 0.0000 0.0000 5.2501 0.0000 0.0000 0.0000 5.7422" Properties=species:S:1:pos:R:3 comment="CdIn2Cl (PBE-GGA, optimized geometry)" spacegroup="Pmmm (47)" density_g_cm3=6.04 total_magnetization_mub_per_atom=0.00 crystal_system=orthorhombic pbc="T T T"
Cd 0.0000 0.0000 0.0000
In 0.0000 2.6250 2.8711
In 1.7206 2.6250 0.0000
Cl 1.7206 0.0000 2.8711

=====

According to the calculations, the structures order from most to least stable as B, A.

=====

A | 8
Lattice="8.1035 0.0000 0.0000 0.0000 8.0327 0.0000 -0.8502 0.0000 3.2322" Properties=species:S:1:pos:R:3 comment="CdIn2Cl (PBE-GGA, optimized geometry)" spacegroup="C2/m (12)" density_g_cm3=5.96 total_magnetization_mub_per_atom=0.00 crystal_system=monoclinic pbc="T T T"
Cd 0.0000 0.0000 0.0000
Cd 4.0517 4.0163 0.0000
In 1.6008 2.0082 1.6161
In 1.6008 6.0245 1.6161
In 5.6525 2.0082 1.6161
In 5.6525 6.0245 1.6161
Cl 0.0000 4.0163 0.0000
Cl 4.0517 0.0000 0.0000

=====

B | 8
Lattice="3.6654 0.0000 0.0000 0.0000 5.7629 0.0000 0.0000 0.0000 9.9871" Properties=species:S:1:pos:R:3 comment="CdIn2Cl (PBE-GGA, optimized geometry)" spacegroup="Cmmm (65)" density_g_cm3=5.94 total_magnetization_mub_per_atom=0.00 crystal_system=orthorhombic pbc="T T T"
Cd 0.0000 0.0000 0.0000
Cd 1.8327 2.8815 0.0000
In 0.0000 2.8815 2.6957
In 0.0000 2.8815 7.2914
In 1.8327 0.0000 2.6957
In 1.8327 0.0000 7.2914
Cl 0.0000 0.0000 4.9936
Cl 1.8327 2.8815 4.9936

=====

According to the calculations, the structures order from most to least stable as A, B.

=====

A | 12
Lattice="3.6131 0.0000 0.0000 -1.8066 3.1291 0.0000 0.0000 0.0000 28.7722" Properties=species:S:1:pos:R:3 comment="CdIn2Cl (PBE-GGA, optimized geometry)" spacegroup="R-3m (166)" density_g_cm3=5.78 total_magnetization_mub_per_atom=0.00 crystal_system=trigonal pbc="T T T"
Cd 0.0000 0.0000 0.0000
Cd 0.0000 2.0861 19.1814
Cd 1.8066 1.0430 9.5907
In 0.0000 0.0000 7.0491
In 0.0000 0.0000 21.7230
In 0.0000 2.0861 12.1323
In 0.0000 2.0861 26.2305
In 1.8066 1.0430 2.5416
In 1.8066 1.0430 16.6398
Cl 0.0000 0.0000 14.3861
Cl 0.0000 2.0861 4.7954
Cl 1.8066 1.0430 23.9768

=====

B | 8
Lattice="3.6655 0.0000 0.0000 0.0000 5.8078 0.0000 0.0000 0.0000 9.8610" Properties=species:S:1:pos:R:3 comment="CdIn2Cl (PBE-GGA, optimized geometry)" spacegroup="Cmm2 (35)" density_g_cm3=5.97 total_magnetization_mub_per_atom=0.00 crystal_system=orthorhombic pbc="T T T"
Cd 0.0000 0.0000 0.0000
Cd 1.8328 2.9039 0.0000
In 0.0000 0.0000 5.3615
In 0.0000 2.9039 2.4864
In 1.8328 0.0000 2.4864
In 1.8328 2.9039 5.3615
Cl 0.0000 2.9039 7.7872
Cl 1.8328 0.0000 7.7872

=====

C | 16
Lattice="7.5785 0.0000 0.0000 0.0000 7.5785 0.0000 0.0000 0.0000 7.5785" Properties=species:S:1:pos:R:3 comment="CdIn2Cl (PBE-GGA, optimized geometry)" spacegroup="F-43m (216)" density_g_cm3=5.76 total_magnetization_mub_per_atom=0.00 crystal_system=cubic pbc="T T T"
Cd 0.0000 0.0000 0.0000
Cd 0.0000 3.7893 3.7893
Cd 3.7893 0.0000 3.7893
Cd 3.7893 3.7893 0.0000
In 0.0000 0.0000 3.7893
In 0.0000 3.7893 0.0000
In 1.8946 1.8946 1.8946
In 1.8946 5.6839 5.6839
In 3.7893 0.0000 0.0000
In 3.7893 3.7893 3.7893
In 5.6839 1.8946 5.6839
In 5.6839 5.6839 1.8946
Cl 1.8946 1.8946 5.6839
Cl 1.8946 5.6839 1.8946
Cl 5.6839 1.8946 1.8946
Cl 5.6839 5.6839 5.6839

=====

D | 8
Lattice="4.4408 0.0000 0.0000 0.0000 4.4408 0.0000 0.0000 0.0000 11.3204" Properties=species:S:1:pos:R:3 comment="CdIn2Cl (PBE-GGA, optimized geometry)" spacegroup="I-4m2 (119)" density_g_cm3=5.62 total_magnetization_mub_per_atom=0.00 crystal_system=tetragonal pbc="T T T"
Cd 0.0000 0.0000 0.0000
Cd 2.2204 2.2204 5.6602
In 0.0000 0.0000 5.6602
In 0.0000 2.2204 2.8301
In 2.2204 0.0000 8.4903
In 2.2204 2.2204 0.0000
Cl 0.0000 2.2204 8.4903
Cl 2.2204 0.0000 2.8301

=====

According to the calculations, the structures order from most to least stable as A, B, D, C.